Material: PrTmCdIn
Method: DFT, PBE-GGA
State: optimized geometry

Calculated values
- M_tot (Bohr magnetons per cell) = 0.00
- ΔE_f (eV per atom) = -0.3889

a b c (Å): 7.611 7.611 7.611
angles (deg): 90.00 90.00 90.00
Positions (direct):
Pr (0.000, 0.000, 0.000)
Pr (0.000, 0.500, 0.500)
Pr (0.500, 0.000, 0.500)
Pr (0.500, 0.500, 0.000)
Tm (0.000, 0.000, 0.500)
Tm (0.000, 0.500, 0.000)
Tm (0.500, 0.000, 0.000)
Tm (0.500, 0.500, 0.500)
Cd (0.250, 0.250, 0.250)
Cd (0.250, 0.750, 0.750)
Cd (0.750, 0.250, 0.750)
Cd (0.750, 0.750, 0.250)
In (0.250, 0.250, 0.750)
In (0.250, 0.750, 0.250)
In (0.750, 0.250, 0.250)
In (0.750, 0.750, 0.750)